# 1
This record from Alexandria describes crystalline PmHo3Th2 at its relaxed geometry. The functional is PBE.

a = 6.681 Å, b = 6.681 Å, c = 11.359 Å
α = 90.00°, β = 90.00°, γ = 117.46°
Positions (direct):
Pm  0.008  0.992  0.750
Pm  0.992  0.008  0.250
Ho  0.004  0.493  0.750
Ho  0.493  0.004  0.250
Ho  0.496  0.504  0.250
Ho  0.504  0.496  0.750
Ho  0.507  0.996  0.750
Ho  0.996  0.507  0.250
Th  0.257  0.257  0.000
Th  0.257  0.257  0.500
Th  0.743  0.743  0.000
Th  0.743  0.743  0.500

Properties
volume: 449.9 Å³/cell
energy above the most stable polymorph in this dataset: 3.35 eV per formula unit
total energy: -4.97 eV per atom

---

# 2
This record from Alexandria describes crystalline Pm2Ho4Th5 at its relaxed geometry. The functional is PBE.

a = 8.808 Å, b = 3.474 Å, c = 11.701 Å
α = 90.00°, β = 94.35°, γ = 90.00°
Positions (direct):
Pm  0.055  0.000  0.136
Pm  0.945  0.000  0.864
Ho  0.160  0.500  0.404
Ho  0.304  0.500  0.945
Ho  0.696  0.500  0.055
Ho  0.840  0.500  0.596
Th  0.204  0.000  0.674
Th  0.423  0.000  0.212
Th  0.500  0.000  0.500
Th  0.577  0.000  0.788
Th  0.796  0.000  0.326

Properties
volume: 357.0 Å³/cell
total energy: -5.77 eV per atom